[1]
Computed, not measured: a geometry-optimized CrFeIrRh structure at the PBE level of DFT.

Computed properties:
- E_form (eV per atom) = 0.01
- E (eV/atom) = -8.5631

Cell: 4.0271 2.6447 10.0092 Å, 90.00 90.00 90.00°
Closest atoms and distances in Å follow each position.
Space group Amm2 (No. 38)
Asymmetric unit:
1 Cr 0.0000 0.0000 0.0000  1 Fe 2.46, 2 Cr 2.64, 4 Rh 2.67
2 Fe 0.0000 0.0000 0.7542  2 Rh 2.44, 1 Cr 2.46, 4 Ir 2.62, 2 Fe 2.64
3 Ir 0.5000 0.0000 0.3583  3 Rh 2.58-2.76, 4 Fe 2.62, 2 Ir 2.64, 4 Cr 2.80
4 Rh 0.5000 0.0000 0.6162  2 Fe 2.44, 1 Ir 2.58, 2 Rh 2.64, 4 Cr 2.67

[2]
Computed, not measured: a geometry-optimized La4TeAuSe2 structure at the PBE level of DFT.

Computed properties:
- energy relative to the elements, uncorrected (meV/atom) = -1566.0
- E (eV/atom) = -5.7032

Cell: 7.6877 4.3391 7.7004 Å, 90.00 108.99 90.00°
Closest atoms and distances in Å follow each position.
Space group P2/m (No. 10)
Asymmetric unit:
1 La 0.2407 0.0000 0.2324  3 Se 3.03-3.08, 1 Au 3.19, 2 Te 3.20
2 La 0.2447 0.5000 0.7559  3 Se 3.06-3.11, 2 Au 3.12, 1 Te 3.20
3 Te 0.5000 0.5000 0.5000  6 La 3.20
4 Au 0.0000 0.0000 0.5000  6 La 3.12-3.19
5 Se 0.0000 0.5000 0.0000  6 La 3.03-3.06
6 Se 0.5000 0.0000 0.0000  6 La 3.08-3.11

[3]
Computed, not measured: a geometry-optimized BeNiW structure at the PBE level of DFT.

Computed properties:
- E_form (eV per atom) = 0.09
- E (eV/atom) = -7.4001

Cell: 4.4929 2.5797 6.2257 Å, 90.00 94.34 90.00°
Closest atoms and distances in Å follow each position.
Space group P2/m (No. 10)
Asymmetric unit:
1 Be 0.0000 0.0000 0.0000  4 Ni 2.27
2 Be 0.5000 0.5000 0.0000  2 Ni 2.22
3 Ni 0.2072 0.5000 0.2722  3 Be 2.22-2.27
4 W 0.2832 0.0000 0.6455  3 W 2.58-2.76, 3 Be 2.63-2.68, 6 Ni 2.64-2.66

[4]
Computed, not measured: a geometry-optimized Cs2LaIr3O12 structure at the PBE level of DFT.

Computed properties:
- energy relative to the elements, uncorrected (meV/atom) = -1193.3
- E (eV/atom) = -6.3442

Cell: 7.3625 7.3625 19.7342 Å, 90.00 90.00 120.00°
Closest atoms and distances in Å follow each position.
Space group R-3m (No. 166, hexagonal axes)
Asymmetric unit:
1 Cs 0.0000 0.0000 0.1093  9 O 3.25-3.47
2 La 0.0000 0.0000 0.5000  6 O 2.38
3 Ir 0.0000 0.5000 0.0000  6 O 1.89-1.95
4 O 0.0334 0.5167 0.0951  1 Ir 1.89
5 O 0.0701 0.5351 0.3420  2 Ir 1.95